(1)
VASP calculation (PBE) on crystalline ZrTi2P at its relaxed geometry.

## Properties
Mass density in Mg/m³: 5.35
Magnetization in μB/atom: 0.00
E_tot in eV per formula unit: -33.29
DOS(E_F) in states/eV/atom: 0.817
Formation enthalpy at 0 K in meV/atom: -886

Cell: 3.5362 5.2438 7.7496 Å, 90.00 90.00 109.72°
Closest atoms and distances in Å follow each position.
Fractional coordinates of all 8 atoms:
Zr 0.9448 0.8894 0.2500  3 P 2.75-2.83, 8 Ti 3.01-3.07
Zr 0.0552 0.1106 0.7500  3 P 2.75-2.83, 8 Ti 3.01-3.07
Ti 0.3585 0.7164 0.5449  3 P 2.54-2.61
Ti 0.6415 0.2836 0.4551  3 P 2.54-2.61
Ti 0.3585 0.7164 0.9551  3 P 2.54-2.61
Ti 0.6415 0.2836 0.0449  3 P 2.54-2.61
P 0.7688 0.5371 0.7500  6 Ti 2.54-2.61, 3 Zr 2.75-2.83
P 0.2312 0.4629 0.2500  6 Ti 2.54-2.61, 3 Zr 2.75-2.83

***

(2)
VASP calculation (PBE) on crystalline CsTl2ZnBr5 at its relaxed geometry.

## Properties
Mass density in Mg/m³: 5.18
ΔE_f (raw) in kJ/mol of formula units: -957
Magnetization in μB/atom: 0.00
E_tot in eV per formula unit: -25.14
DOS(E_F) in states/eV/atom: 0.000

Cell: 9.1821 9.1821 10.0392 Å, 117.21 117.21 90.00°
Closest atoms and distances in Å follow each position.
Fractional coordinates of all 18 atoms:
Cs 0.2500 0.2500 0.5000  10 Br 3.83-3.84
Cs 0.7500 0.7500 0.5000  10 Br 3.83-3.84
Tl 0.1636 0.3364 0.0000  8 Br 3.38-3.65
Tl 0.6636 0.1636 0.0000  8 Br 3.38-3.65
Tl 0.3364 0.8364 0.0000  8 Br 3.38-3.65
Tl 0.8364 0.6636 0.0000  8 Br 3.38-3.65
Zn 0.2500 0.7500 0.5000  4 Br 2.44
Zn 0.7500 0.2500 0.5000  4 Br 2.44
Br 0.0041 0.5041 0.2991  1 Zn 2.44
Br 0.7050 0.2050 0.7009  1 Zn 2.44
Br 0.9959 0.4959 0.7009  1 Zn 2.44
Br 0.2050 0.9959 0.7009  1 Zn 2.44
Br 0.4959 0.7050 0.7009  1 Zn 2.44
Br 0.7950 0.0041 0.2991  1 Zn 2.44
Br 0.5041 0.2950 0.2991  1 Zn 2.44
Br 0.2950 0.7950 0.2991  1 Zn 2.44
Br 0.5000 0.5000 0.0000  4 Tl 3.43, 2 Cs 3.83
Br 0.0000 0.0000 0.0000  4 Tl 3.43, 2 Cs 3.83

***

(3)
VASP calculation (PBE) on crystalline Ca2Ge3PdPt4 at its relaxed geometry.

## Properties
Mass density in Mg/m³: 10.36
Magnetization in μB/atom: 0.00
E_tot in eV per formula unit: -54.66
DOS(E_F) in states/eV/atom: 0.523
Formation enthalpy at 0 K in meV/atom: -745

Cell: 4.1048 4.1048 11.2700 Å, 90.00 90.00 90.00°
Closest atoms and distances in Å follow each position.
Fractional coordinates of all 10 atoms:
Ca 0.5000 0.0000 0.2580  4 Pt 3.07, 6 Ge 3.22-3.41, 2 Pd 3.41
Ca 0.0000 0.5000 0.7420  4 Pt 3.07, 6 Ge 3.22-3.41, 2 Pd 3.41
Ge 0.0000 0.0000 0.5000  4 Pt 2.68, 4 Pd 2.90
Ge 0.5000 0.0000 0.8659  5 Pt 2.40-2.55
Ge 0.0000 0.5000 0.1341  5 Pt 2.40-2.55
Pd 0.5000 0.5000 0.5000  4 Pt 2.68, 4 Ge 2.90
Pt 0.5000 0.5000 0.0000  4 Ge 2.55
Pt 0.0000 0.0000 0.0000  4 Ge 2.55
Pt 0.5000 0.0000 0.6527  3 Ge 2.40-2.68, 2 Pd 2.68
Pt 0.0000 0.5000 0.3473  3 Ge 2.40-2.68, 2 Pd 2.68